(1)
# PBE RbBrO4, optimized geometry
# Density: 3.26 g/cm3
data_RbBrO4
_chemical_formula_sum 'Rb4 Br4 O16'
_cell_length_a 5.747
_cell_length_b 5.747
_cell_length_c 14.146
_cell_angle_alpha 90.00
_cell_angle_beta 90.00
_cell_angle_gamma 90.00
_space_group_name_H-M_alt 'I 41/a'
_space_group_IT_number 88
loop_
_space_group_symop_operation_xyz
'x,y,z'
'-x,-y,-z'
'-y+3/4,x+1/4,z+1/4'
'y+3/4,-x+1/4,-z+1/4'
'-x+1/2,-y,z+1/2'
'x+1/2,y,-z+1/2'
'y+3/4,-x+3/4,z+3/4'
'-y+3/4,x+3/4,-z+3/4'
'x+1/2,y+1/2,z+1/2'
'-x+1/2,-y+1/2,-z+1/2'
'-y+1/4,x+3/4,z+3/4'
'y+1/4,-x+3/4,-z+3/4'
'-x,-y+1/2,z'
'x,y+1/2,-z'
'y+1/4,-x+1/4,z+1/4'
'-y+1/4,x+1/4,-z+1/4'
loop_
_atom_site_label
_atom_site_type_symbol
_atom_site_fract_x
_atom_site_fract_y
_atom_site_fract_z
Rb1 Rb 0.000 0.250 0.125
Br1 Br 0.000 0.250 0.625
O1 O 0.068 0.023 0.691

***

(2)
# PBE RbBr2O, optimized geometry
# Density: 2.33 g/cm3
# E above lowest polymorph: 0.054 eV/atom
data_RbBr2O
_chemical_formula_sum 'Rb3 Br6 O3'
_cell_length_a 5.7889
_cell_length_b 5.7889
_cell_length_c 19.2186
_cell_angle_alpha 90.00
_cell_angle_beta 90.00
_cell_angle_gamma 120.00
_space_group_name_H-M_alt 'R -3 m'
_space_group_IT_number 166
_space_group_name_Hall '-R 3 2"'
loop_
_atom_site_label
_atom_site_type_symbol
_atom_site_fract_x
_atom_site_fract_y
_atom_site_fract_z
Rb1 Rb 0.0000 0.0000 0.0000
Br1 Br 0.0000 0.0000 0.3906
O1 O 0.0000 0.0000 0.5000

***

(3)
# PBE RbBrO3, optimized geometry
# Density: 3.18 g/cm3
data_RbBrO3
_chemical_formula_sum 'Rb2 Br2 O6'
_cell_length_a 4.707
_cell_length_b 6.377
_cell_length_c 7.774
_cell_angle_alpha 90.00
_cell_angle_beta 106.98
_cell_angle_gamma 90.00
_space_group_name_H-M_alt 'P 1 21/m 1'
_space_group_IT_number 11
_space_group_name_Hall '-P 2yb'
loop_
_atom_site_label
_atom_site_type_symbol
_atom_site_fract_x
_atom_site_fract_y
_atom_site_fract_z
Rb1 Rb 0.166 0.250 0.313
Br1 Br 0.389 0.250 0.831
O1 O 0.098 0.250 0.915
O2 O 0.341 0.040 0.693

***

(4)
# PBE Rb7Br2O2, optimized geometry
# Density: 3.09 g/cm3
# E above lowest polymorph: 0.061 eV/atom
data_Rb7Br2O2
_chemical_formula_sum 'Rb14 Br4 O4'
_cell_length_a 9.357
_cell_length_b 11.195
_cell_length_c 8.112
_cell_angle_alpha 90.00
_cell_angle_beta 90.00
_cell_angle_gamma 90.00
_space_group_name_H-M_alt 'C m m m'
_space_group_IT_number 65
_space_group_name_Hall '-C 2 2'
loop_
_atom_site_label
_atom_site_type_symbol
_atom_site_fract_x
_atom_site_fract_y
_atom_site_fract_z
Rb1 Rb 0.000 0.000 0.000
Rb2 Rb 0.000 0.500 0.203
Rb3 Rb 0.250 0.250 0.216
Br1 Br 0.238 0.000 0.500
O1 O 0.000 0.287 0.000

***

Number 1: uncorrected formation energy -0.36 eV/atom, raw total energy -4.11 eV/atom. Number 2: uncorrected formation energy -0.39 eV/atom, raw total energy -2.71 eV/atom. Number 3: uncorrected formation energy -0.62 eV/atom, raw total energy -4.12 eV/atom. Number 4: uncorrected formation energy -1.04 eV/atom, raw total energy -2.87 eV/atom.